The following is a GGA-PBE calculation of a relaxed structure of PbWS3, from the Alexandria database.

a = 5.056 Å, b = 5.056 Å, c = 5.056 Å
α = 90.00°, β = 90.00°, γ = 90.00°
Atoms (fractional coordinates):
Pb1 0.000 0.000 0.000
W1 0.500 0.500 0.500
S1 0.000 0.000 0.500
S2 0.000 0.500 0.000
S3 0.500 0.000 0.000

Computed properties:
Energy relative to the elements, uncorrected: 1.58 eV/atom
Energy: -4.23 eV per atom
Offset from the most stable computed form: 1.7376 eV/atom
Calculated density: 6.26 Mg/m³
Total moment: 3.40 μB per cell

=====

The following is a GGA-PBE calculation of a relaxed structure of PbW3S, from the Alexandria database.

a = 5.036 Å, b = 5.036 Å, c = 5.036 Å
α = 90.00°, β = 90.00°, γ = 90.00°
Atoms (fractional coordinates):
Pb1 0.000 0.000 0.000
W1 0.000 0.000 0.500
W2 0.000 0.500 0.000
W3 0.500 0.000 0.000
S1 0.500 0.500 0.500

Computed properties:
Energy relative to the elements, uncorrected: 3.52 eV/atom
Energy: -5.82 eV per atom
Offset from the most stable computed form: 2.4589 eV/atom
Calculated density: 10.28 Mg/m³
Total moment: 0.00 μB per cell

=====

The following is a GGA-PBE calculation of a relaxed structure of PbW3S, from the Alexandria database.

a = 4.508 Å, b = 4.508 Å, c = 4.508 Å
α = 90.00°, β = 90.00°, γ = 90.00°
Atoms (fractional coordinates):
Pb1 0.000 0.000 0.000
W1 0.000 0.500 0.500
W2 0.500 0.000 0.500
W3 0.500 0.500 0.000
S1 0.500 0.500 0.500

Computed properties:
Energy relative to the elements, uncorrected: 1.06 eV/atom
Energy: -8.28 eV per atom
Offset from the most stable computed form: 0.0000 eV/atom
Calculated density: 14.33 Mg/m³
Total moment: 0.00 μB per cell

=====

The following is a GGA-PBE calculation of a relaxed structure of Y3PbS2, from the Alexandria database.

a = 7.214 Å, b = 7.214 Å, c = 10.090 Å
α = 90.00°, β = 90.00°, γ = 143.76°
Atoms (fractional coordinates):
Y1 0.087 0.913 0.750
Y2 0.360 0.640 0.558
Y3 0.360 0.640 0.942
Y4 0.640 0.360 0.058
Y5 0.640 0.360 0.442
Y6 0.913 0.087 0.250
Pb1 0.244 0.756 0.250
Pb2 0.756 0.244 0.750
S1 0.000 0.000 0.000
S2 0.000 0.000 0.500
S3 0.489 0.511 0.750
S4 0.511 0.489 0.250

Computed properties:
Energy relative to the elements, uncorrected: -1.29 eV/atom
Energy: -6.52 eV per atom
Calculated density: 5.76 Mg/m³
Total moment: 0.00 μB per cell

=====

Question: energy of number 2 (PbW3S)?
Answer: -5.82 eV per atom